# 1
{"formula": "LaGeIr3", "functional": "PBE", "state": "relaxed", "crystal_system": "cubic", "final_energy_ev_per_atom": -7.1858, "cell": [[4.663, 0.000, 0.000], [0.000, 4.663, 0.000], [0.000, 0.000, 4.663]], "species": ["Ge", "Ir", "Ir", "Ir", "La"], "fractional_positions": [[0.000, 0.000, 0.000], [0.000, 0.500, 0.000], [0.000, 0.000, 0.500], [0.500, 0.000, 0.000], [0.500, 0.500, 0.500]]}

# 2
{"formula": "La4GeIr", "functional": "PBE", "state": "relaxed", "crystal_system": "monoclinic", "final_energy_ev_per_atom": -6.1167, "cell": [[-1.631, -2.962, 5.296], [3.766, -5.763, -4.410], [5.129, 6.176, 2.479]], "species": ["La", "La", "La", "La", "La", "La", "La", "La", "Ge", "Ge", "Ir", "Ir"], "fractional_positions": [[0.036, 0.220, 0.866], [0.771, 0.692, 0.625], [0.329, 0.646, 0.866], [0.355, 0.933, 0.625], [0.645, 0.067, 0.375], [0.671, 0.354, 0.134], [0.229, 0.308, 0.375], [0.964, 0.780, 0.134], [0.373, 0.623, 0.246], [0.627, 0.377, 0.754], [0.247, 0.997, 0.994], [0.753, 0.003, 0.006]]}

# 3
{"formula": "La2Ge4Ir3", "functional": "PBE", "state": "relaxed", "crystal_system": "orthorhombic", "final_energy_ev_per_atom": -6.7659, "cell": [[5.749, -0.153, 0.000], [-2.808, 5.019, 0.000], [-1.471, -2.433, 6.312]], "species": ["La", "La", "Ge", "Ge", "Ge", "Ge", "Ir", "Ir", "Ir"], "fractional_positions": [[0.631, 0.631, 0.262], [0.369, 0.369, 0.738], [0.015, 0.676, 0.691], [0.676, 0.015, 0.691], [0.985, 0.324, 0.309], [0.324, 0.985, 0.309], [0.500, 0.000, 0.000], [0.000, 0.000, 0.000], [0.000, 0.500, 0.000]]}

# 4
{"formula": "La3Ge4Ir2", "functional": "PBE", "state": "relaxed", "crystal_system": "monoclinic", "final_energy_ev_per_atom": -6.5010, "cell": [[4.298, 0.000, 0.000], [-2.149, 5.633, -1.294], [0.000, 0.137, 8.552]], "species": ["La", "La", "La", "Ge", "Ge", "Ge", "Ge", "Ir", "Ir"], "fractional_positions": [[0.669, 0.338, 0.651], [0.000, 0.000, 0.000], [0.331, 0.662, 0.349], [0.736, 0.472, 0.082], [0.264, 0.528, 0.918], [0.953, 0.905, 0.622], [0.047, 0.095, 0.378], [0.603, 0.206, 0.273], [0.397, 0.794, 0.727]]}

Copy entry 4 word for word.
{"formula": "La3Ge4Ir2", "functional": "PBE", "state": "relaxed", "crystal_system": "monoclinic", "final_energy_ev_per_atom": -6.5010, "cell": [[4.298, 0.000, 0.000], [-2.149, 5.633, -1.294], [0.000, 0.137, 8.552]], "species": ["La", "La", "La", "Ge", "Ge", "Ge", "Ge", "Ir", "Ir"], "fractional_positions": [[0.669, 0.338, 0.651], [0.000, 0.000, 0.000], [0.331, 0.662, 0.349], [0.736, 0.472, 0.082], [0.264, 0.528, 0.918], [0.953, 0.905, 0.622], [0.047, 0.095, 0.378], [0.603, 0.206, 0.273], [0.397, 0.794, 0.727]]}

Which formula does entry 3 have?
La2Ge4Ir3

What did the first record say?
{"formula": "LaGeIr3", "functional": "PBE", "state": "relaxed", "crystal_system": "cubic", "final_energy_ev_per_atom": -7.1858, "cell": [[4.663, 0.000, 0.000], [0.000, 4.663, 0.000], [0.000, 0.000, 4.663]], "species": ["Ge", "Ir", "Ir", "Ir", "La"], "fractional_positions": [[0.000, 0.000, 0.000], [0.000, 0.500, 0.000], [0.000, 0.000, 0.500], [0.500, 0.000, 0.000], [0.500, 0.500, 0.500]]}